{
  "formula": "LiErIn2",
  "functional": "meta-GGA SCAN",
  "state": "single point on PBEsol structure",
  "e_tot_ev_per_fu": -121.56,
  "total_magnetization_mub_per_fu": 0.00,
  "mass_density_g_cm3": 7.52,
  "n_ef_per_ev_atom": 0.22,
  "lattice_angstrom": [[7.091, 0.000, 0.000], [0.000, 7.091, 0.000], [0.000, 0.000, 7.091]],
  "species": ["Li", "Li", "Li", "Li", "Er", "Er", "Er", "Er", "In", "In", "In", "In", "In", "In", "In", "In"],
  "fractional_positions": [[0.000, 0.000, 0.000], [0.000, 0.500, 0.500], [0.500, 0.000, 0.500], [0.500, 0.500, 0.000], [0.000, 0.000, 0.500], [0.000, 0.500, 0.000], [0.500, 0.000, 0.000], [0.500, 0.500, 0.500], [0.250, 0.250, 0.250], [0.250, 0.250, 0.750], [0.250, 0.750, 0.250], [0.250, 0.750, 0.750], [0.750, 0.250, 0.250], [0.750, 0.250, 0.750], [0.750, 0.750, 0.250], [0.750, 0.750, 0.750]]
}

{
  "formula": "Li2ErIn",
  "functional": "meta-GGA SCAN",
  "state": "single point on PBEsol structure",
  "e_tot_ev_per_fu": -89.93,
  "total_magnetization_mub_per_fu": 0.00,
  "mass_density_g_cm3": 6.49,
  "n_ef_per_ev_atom": 0.19,
  "lattice_angstrom": [[6.716, 0.000, 0.000], [0.000, 6.716, 0.000], [0.000, 0.000, 6.716]],
  "species": ["Li", "Li", "Li", "Li", "Li", "Li", "Li", "Li", "Er", "Er", "Er", "Er", "In", "In", "In", "In"],
  "fractional_positions": [[0.250, 0.250, 0.250], [0.250, 0.250, 0.750], [0.250, 0.750, 0.250], [0.250, 0.750, 0.750], [0.750, 0.250, 0.250], [0.750, 0.250, 0.750], [0.750, 0.750, 0.250], [0.750, 0.750, 0.750], [0.000, 0.000, 0.000], [0.000, 0.500, 0.500], [0.500, 0.000, 0.500], [0.500, 0.500, 0.000], [0.000, 0.000, 0.500], [0.000, 0.500, 0.000], [0.500, 0.000, 0.000], [0.500, 0.500, 0.500]]
}

{
  "formula": "LiEr2In",
  "functional": "meta-GGA SCAN",
  "state": "single point on PBEsol structure",
  "e_tot_ev_per_fu": -137.81,
  "total_magnetization_mub_per_fu": 0.00,
  "mass_density_g_cm3": 7.85,
  "n_ef_per_ev_atom": 0.64,
  "lattice_angstrom": [[7.281, 0.000, 0.000], [0.000, 7.281, 0.000], [0.000, 0.000, 7.281]],
  "species": ["Li", "Li", "Li", "Li", "Er", "Er", "Er", "Er", "Er", "Er", "Er", "Er", "In", "In", "In", "In"],
  "fractional_positions": [[0.000, 0.000, 0.000], [0.000, 0.500, 0.500], [0.500, 0.000, 0.500], [0.500, 0.500, 0.000], [0.250, 0.250, 0.250], [0.250, 0.250, 0.750], [0.250, 0.750, 0.250], [0.250, 0.750, 0.750], [0.750, 0.250, 0.250], [0.750, 0.250, 0.750], [0.750, 0.750, 0.250], [0.750, 0.750, 0.750], [0.000, 0.000, 0.500], [0.000, 0.500, 0.000], [0.500, 0.000, 0.000], [0.500, 0.500, 0.500]]
}

{
  "formula": "Er2MgIn",
  "functional": "meta-GGA SCAN",
  "state": "single point on PBEsol structure",
  "e_tot_ev_per_fu": -140.57,
  "total_magnetization_mub_per_fu": 0.00,
  "mass_density_g_cm3": 7.95,
  "n_ef_per_ev_atom": 0.72,
  "lattice_angstrom": [[7.341, 0.000, 0.000], [0.000, 7.341, 0.000], [0.000, 0.000, 7.341]],
  "species": ["Er", "Er", "Er", "Er", "Er", "Er", "Er", "Er", "Mg", "Mg", "Mg", "Mg", "In", "In", "In", "In"],
  "fractional_positions": [[0.250, 0.250, 0.250], [0.250, 0.250, 0.750], [0.250, 0.750, 0.250], [0.250, 0.750, 0.750], [0.750, 0.250, 0.250], [0.750, 0.250, 0.750], [0.750, 0.750, 0.250], [0.750, 0.750, 0.750], [0.000, 0.000, 0.000], [0.000, 0.500, 0.500], [0.500, 0.000, 0.500], [0.500, 0.500, 0.000], [0.000, 0.000, 0.500], [0.000, 0.500, 0.000], [0.500, 0.000, 0.000], [0.500, 0.500, 0.500]]
}

{
  "formula": "ErMgIn",
  "functional": "meta-GGA SCAN",
  "state": "single point on PBEsol structure",
  "e_tot_ev_per_fu": -90.21,
  "total_magnetization_mub_per_fu": 0.00,
  "mass_density_g_cm3": 7.04,
  "n_ef_per_ev_atom": 0.11,
  "lattice_angstrom": [[7.379, 0.000, 0.000], [-3.690, 6.391, 0.000], [0.000, 0.000, 4.596]],
  "species": ["Er", "Er", "Er", "Mg", "Mg", "Mg", "In", "In", "In"],
  "fractional_positions": [[0.000, 0.564, 0.000], [0.436, 0.436, 0.000], [0.564, 0.000, 0.000], [0.000, 0.242, 0.500], [0.242, 0.000, 0.500], [0.758, 0.758, 0.500], [0.000, 0.000, 0.000], [0.333, 0.667, 0.500], [0.667, 0.333, 0.500]]
}

{
  "formula": "Er3InN",
  "functional": "meta-GGA SCAN",
  "state": "single point on PBEsol structure",
  "e_tot_ev_per_fu": -199.84,
  "total_magnetization_mub_per_fu": 0.00,
  "mass_density_g_cm3": 10.12,
  "raw_formation_energy_mev_per_atom": -1228,
  "n_ef_per_ev_atom": 0.35,
  "lattice_angstrom": [[4.694, 0.000, 0.000], [0.000, 4.694, 0.000], [0.000, 0.000, 4.694]],
  "species": ["Er", "Er", "Er", "In", "N"],
  "fractional_positions": [[0.000, 0.000, 0.500], [0.000, 0.500, 0.000], [0.500, 0.000, 0.000], [0.500, 0.500, 0.500], [0.000, 0.000, 0.000]]
}

{
  "formula": "ErInNi",
  "functional": "meta-GGA SCAN",
  "state": "single point on PBEsol structure",
  "e_tot_ev_per_fu": -101.65,
  "total_magnetization_mub_per_fu": 0.00,
  "mass_density_g_cm3": 9.97,
  "n_ef_per_ev_atom": 0.75,
  "lattice_angstrom": [[7.264, 0.000, 0.000], [-3.632, 6.290, 0.000], [0.000, 0.000, 3.728]],
  "species": ["Er", "Er", "Er", "In", "In", "In", "Ni", "Ni", "Ni"],
  "fractional_positions": [[0.000, 0.411, 0.000], [0.411, 0.000, 0.000], [0.589, 0.589, 0.000], [0.000, 0.745, 0.500], [0.255, 0.255, 0.500], [0.745, 0.000, 0.500], [0.000, 0.000, 0.000], [0.333, 0.667, 0.500], [0.667, 0.333, 0.500]]
}

{
  "formula": "Er2InNi2",
  "functional": "meta-GGA SCAN",
  "state": "single point on PBEsol structure",
  "e_tot_ev_per_fu": -169.47,
  "total_magnetization_mub_per_fu": 0.00,
  "mass_density_g_cm3": 9.89,
  "n_ef_per_ev_atom": 0.45,
  "lattice_angstrom": [[3.868, 0.000, 0.000], [0.000, 13.941, 0.000], [0.000, 0.000, 3.529]],
  "species": ["Er", "Er", "Er", "Er", "In", "In", "Ni", "Ni", "Ni", "Ni"],
  "fractional_positions": [[0.000, 0.139, 0.000], [0.000, 0.861, 0.000], [0.500, 0.361, 0.000], [0.500, 0.639, 0.000], [0.000, 0.500, 0.500], [0.500, 0.000, 0.500], [0.000, 0.301, 0.500], [0.000, 0.699, 0.500], [0.500, 0.199, 0.500], [0.500, 0.801, 0.500]]
}

{
  "formula": "Er2InNi2",
  "functional": "meta-GGA SCAN",
  "state": "single point on PBEsol structure",
  "e_tot_ev_per_fu": -169.32,
  "total_magnetization_mub_per_fu": 0.00,
  "mass_density_g_cm3": 10.15,
  "n_ef_per_ev_atom": 0.53,
  "lattice_angstrom": [[7.232, 0.000, 0.000], [0.000, 7.232, 0.000], [0.000, 0.000, 3.543]],
  "species": ["Er", "Er", "Er", "Er", "In", "In", "Ni", "Ni", "Ni", "Ni"],
  "fractional_positions": [[0.174, 0.326, 0.000], [0.326, 0.826, 0.000], [0.674, 0.174, 0.000], [0.826, 0.674, 0.000], [0.000, 0.000, 0.500], [0.500, 0.500, 0.500], [0.120, 0.620, 0.500], [0.380, 0.120, 0.500], [0.620, 0.880, 0.500], [0.880, 0.380, 0.500]]
}

{
  "formula": "ErInPd",
  "functional": "meta-GGA SCAN",
  "state": "single point on PBEsol structure",
  "e_tot_ev_per_fu": -119.31,
  "total_magnetization_mub_per_fu": 0.00,
  "mass_density_g_cm3": 10.43,
  "n_ef_per_ev_atom": 0.68,
  "lattice_angstrom": [[7.506, 0.000, 0.000], [-3.753, 6.501, 0.000], [0.000, 0.000, 3.804]],
  "species": ["Er", "Er", "Er", "In", "In", "In", "Pd", "Pd", "Pd"],
  "fractional_positions": [[0.000, 0.592, 0.000], [0.408, 0.408, 0.000], [0.592, 0.000, 0.000], [0.000, 0.259, 0.500], [0.259, 0.000, 0.500], [0.741, 0.741, 0.500], [0.000, 0.000, 0.000], [0.333, 0.667, 0.500], [0.667, 0.333, 0.500]]
}